A relaxed structure of ScP2WO, computed with GGA+U.

Structure (POSCAR):
```
ScP2WO
1.0
4.9276 0.0000 0.0000
0.0000 4.9276 0.0000
0.0000 0.0000 3.7947
Sc P W O
1 2 1 1
Direct
0.0000 0.0000 0.0000 Sc
0.0000 0.5000 0.5000 P
0.5000 0.0000 0.5000 P
0.5000 0.5000 0.5000 W
0.5000 0.5000 0.0000 O
```

The density of states at the Fermi level is 0.207 states/eV/atom. Its crystal system is tetragonal. The value obtained for the electronic total energy is -6.43 eV per atom. Its space-group type is P4/mmm. The total magnetic moment comes out at 0.996 μB/cell. The value obtained for the distance to the lowest polymorph of the same formula is 0 meV/atom.